# ZnInH2Pb

ZnInH2Pb after structural relaxation (PBEsol, the Alexandria database).

Values from the calculation:
The calculation puts the total energy at -2.587 eV/atom. Its total magnetization is 0.00 μB/f.u. Its density of states at the Fermi level is 0.316 states/eV/atom.

Cell lengths 3.988, 3.988, 5.995 Å; angles 90.00, 90.00, 90.00 degrees
Space group P4/mmm (No. 123)
One atom of each set of equivalent atoms:
Zn  0.000  0.000  0.000 (multiplicity 1)
In  0.500  0.500  0.000 (multiplicity 1)
H  0.000  0.500  0.500 (multiplicity 2)
Pb  0.500  0.500  0.500 (multiplicity 1)